[1]
VASP calculation (PBE) on a geometry-optimized Pm8GeRh5 structure.

Output
Electronic total energy: -6.308 eV per atom
Formation energy: -0.638 eV/atom
Density: 8.3 g/cm³

Cell and atoms, written as CIF:
```
data_Pm8GeRh5
_chemical_formula_sum 'Pm16 Ge2 Rh10'
_cell_length_a 8.906
_cell_length_b 8.906
_cell_length_c 8.794
_cell_angle_alpha 90.00
_cell_angle_beta 90.00
_cell_angle_gamma 90.00
_space_group_name_H-M_alt 'I -4'
_space_group_IT_number 82
_space_group_name_Hall 'I -4'
loop_
_atom_site_label
_atom_site_fract_x
_atom_site_fract_y
_atom_site_fract_z
Pm1 0.058 0.192 0.316
Pm2 0.061 0.317 0.933
Ge1 0.000 0.000 0.000
Rh1 0.000 0.500 0.250
Rh2 0.119 0.251 0.625
```



[2]
VASP calculation (PBE) on a geometry-optimized Pm2Ge3Rh2 structure.

Output
Electronic total energy: -6.181 eV per atom
Formation energy: -0.745 eV/atom
Energy above the most stable polymorph in this dataset: 105 meV per atom
Density: 8.6 g/cm³

Cell and atoms, written as CIF:
```
data_Pm2Ge3Rh2
_chemical_formula_sum 'Pm4 Ge6 Rh4'
_cell_length_a 10.351
_cell_length_b 4.275
_cell_length_c 6.830
_cell_angle_alpha 90.00
_cell_angle_beta 114.91
_cell_angle_gamma 90.00
_space_group_name_H-M_alt 'C 1 2/m 1'
_space_group_IT_number 12
_space_group_name_Hall '-C 2y'
loop_
_atom_site_label
_atom_site_fract_x
_atom_site_fract_y
_atom_site_fract_z
Pm1 0.150 0.000 0.274
Ge1 0.000 0.500 0.500
Ge2 0.123 0.500 0.945
Rh1 0.131 0.000 0.723
```



[3]
VASP calculation (PBE) on a geometry-optimized Pm2Ge3Rh structure.

Output
Electronic total energy: -5.956 eV per atom
Formation energy: -0.838 eV/atom
Density: 7.8 g/cm³

Cell and atoms, written as CIF:
```
data_Pm2Ge3Rh
_chemical_formula_sum 'Pm16 Ge24 Rh8'
_cell_length_a 8.311
_cell_length_b 8.532
_cell_length_c 14.725
_cell_angle_alpha 90.00
_cell_angle_beta 90.00
_cell_angle_gamma 90.00
_space_group_name_H-M_alt 'F m m m'
_space_group_IT_number 69
_space_group_name_Hall '-F 2 2'
loop_
_atom_site_label
_atom_site_fract_x
_atom_site_fract_y
_atom_site_fract_z
Pm1 0.249 0.000 0.000
Pm2 0.250 0.250 0.250
Ge1 0.000 0.000 0.331
Ge2 0.000 0.247 0.085
Rh1 0.000 0.000 0.167
```